Computed, not measured: a geometry-optimized K3TlCd3 structure at the PBE-GGA level of DFT.

Unit cell a=6.9482 b=6.9482 c=17.1438 alpha=109.11 beta=109.11 gamma=44.64
Element x y z (fractional)
K 0.0249 0.0249 0.3800
K 0.1122 0.1122 0.9238
K 0.2560 0.2560 0.2348
K 0.7440 0.7440 0.7652
K 0.8878 0.8878 0.0762
K 0.9751 0.9751 0.6200
Tl 0.2540 0.2540 0.5917
Tl 0.7460 0.7460 0.4083
Cd 0.3755 0.3755 0.4657
Cd 0.4043 0.4043 0.9214
Cd 0.4494 0.4494 0.7650
Cd 0.5506 0.5506 0.2350
Cd 0.5957 0.5957 0.0786
Cd 0.6245 0.6245 0.5343

SG: C2/m
Magnetization, μB per cell: 0.00
Uncorrected energy, eV/atom: -1.275
Energy relative to the elements, eV/atom: -0.0748

---

Computed, not measured: a geometry-optimized KTlCd structure at the PBE-GGA level of DFT.

Unit cell a=6.8949 b=6.8949 c=6.8949 alpha=146.01 beta=146.01 gamma=48.82
Element x y z (fractional)
K 0.0000 0.0000 0.0000
Tl 0.3013 0.3013 0.0000
Cd 0.6946 0.6946 0.0000

SG: I4mm
Magnetization, μB per cell: 0.00
Uncorrected energy, eV/atom: -1.515
ΔE to the lowest computed polymorph, meV per atom: 56
Energy relative to the elements, eV/atom: -0.0550

---

Computed, not measured: a geometry-optimized K2TlCd structure at the PBE-GGA level of DFT.

Unit cell a=7.0408 b=7.0408 c=6.5857 alpha=90.00 beta=90.00 gamma=75.41
Element x y z (fractional)
K 0.0254 0.3312 0.2500
K 0.3312 0.0254 0.7500
K 0.6688 0.9746 0.2500
K 0.9746 0.6688 0.7500
Tl 0.2069 0.7931 0.2500
Tl 0.7931 0.2069 0.7500
Cd 0.5000 0.5000 0.0000
Cd 0.5000 0.5000 0.5000

SG: Cmcm
Magnetization, μB per cell: 0.00
Uncorrected energy, eV/atom: -1.446
Energy relative to the elements, eV/atom: -0.0765

---

Computed, not measured: a geometry-optimized KTl8Cd2 structure at the PBE-GGA level of DFT.

Unit cell a=9.3122 b=9.3122 c=6.0281 alpha=94.13 beta=94.13 gamma=41.16
Element x y z (fractional)
K 0.0000 0.0000 0.0000
Tl 0.1504 0.6519 0.4548
Tl 0.2100 0.2100 0.1177
Tl 0.3481 0.8496 0.5452
Tl 0.4021 0.4021 0.9724
Tl 0.5979 0.5979 0.0276
Tl 0.6519 0.1504 0.4548
Tl 0.7900 0.7900 0.8823
Tl 0.8496 0.3481 0.5452
Cd 0.2577 0.2577 0.6283
Cd 0.7423 0.7423 0.3717

SG: C2/m
Magnetization, μB per cell: 0.00
Uncorrected energy, eV/atom: -1.983
ΔE to the lowest computed polymorph, meV per atom: 0
Energy relative to the elements, eV/atom: 0.0036

---

Computed, not measured: a geometry-optimized KTl2Cd4 structure at the PBE-GGA level of DFT.

Unit cell a=10.0102 b=10.0102 c=10.0102 alpha=29.04 beta=29.04 gamma=29.04
Element x y z (fractional)
K 0.0000 0.0000 0.0000
Tl 0.2584 0.2584 0.2584
Tl 0.7416 0.7416 0.7416
Cd 0.1421 0.1421 0.1421
Cd 0.4435 0.4435 0.4435
Cd 0.5565 0.5565 0.5565
Cd 0.8579 0.8579 0.8579

SG: R-3m
Magnetization, μB per cell: 0.00
Uncorrected energy, eV/atom: -1.397
ΔE to the lowest computed polymorph, meV per atom: 0
Energy relative to the elements, eV/atom: -0.0412

---

Computed, not measured: a geometry-optimized KTlCd structure at the PBE-GGA level of DFT.

Unit cell a=5.6156 b=5.6156 c=5.6156 alpha=60.00 beta=60.00 gamma=60.00
Element x y z (fractional)
K 0.0000 0.0000 0.0000
Tl 0.2500 0.2500 0.2500
Cd 0.7500 0.7500 0.7500

SG: F-43m
Magnetization, μB per cell: 0.00
Uncorrected energy, eV/atom: -1.183
ΔE to the lowest computed polymorph, meV per atom: 388
Energy relative to the elements, eV/atom: 0.2768

---

Computed, not measured: a geometry-optimized KTlCd structure at the PBE-GGA level of DFT.

Unit cell a=11.3807 b=11.3807 c=12.8443 alpha=122.46 beta=122.46 gamma=27.13
Element x y z (fractional)
K 0.0601 0.5600 0.5123
K 0.2497 0.7503 0.5000
K 0.3908 0.8909 0.3417
K 0.5600 0.0601 0.0123
K 0.7503 0.2497 0.0000
K 0.8909 0.3908 0.8417
Tl 0.0929 0.5927 0.8324
Tl 0.1925 0.6928 0.1443
Tl 0.4390 0.9414 0.6883
Tl 0.5927 0.0929 0.3324
Tl 0.6928 0.1925 0.6443
Tl 0.9414 0.4390 0.1883
Cd 0.0790 0.5793 0.2043
Cd 0.2503 0.7499 0.7947
Cd 0.3968 0.8946 0.0542
Cd 0.5793 0.0790 0.7043
Cd 0.7499 0.2503 0.2947
Cd 0.8946 0.3968 0.5542

SG: Cc
Magnetization, μB per cell: 0.00
Uncorrected energy, eV/atom: -1.530
ΔE to the lowest computed polymorph, meV per atom: 40
Energy relative to the elements, eV/atom: -0.0707

---

Computed, not measured: a geometry-optimized KTl8Cd2 structure at the PBE-GGA level of DFT.

Unit cell a=6.4486 b=6.4486 c=10.4603 alpha=90.00 beta=90.00 gamma=90.00
Element x y z (fractional)
K 0.0000 0.0000 0.0000
Tl 0.2519 0.2519 0.2856
Tl 0.2519 0.2519 0.7144
Tl 0.2519 0.7481 0.2856
Tl 0.2519 0.7481 0.7144
Tl 0.7481 0.2519 0.2856
Tl 0.7481 0.2519 0.7144
Tl 0.7481 0.7481 0.2856
Tl 0.7481 0.7481 0.7144
Cd 0.0000 0.5000 0.5000
Cd 0.5000 0.0000 0.5000

SG: P4/mmm
Magnetization, μB per cell: 0.00
Uncorrected energy, eV/atom: -1.852
ΔE to the lowest computed polymorph, meV per atom: 131
Energy relative to the elements, eV/atom: 0.1346

---

Computed, not measured: a geometry-optimized K2Tl9Cd3 structure at the PBE-GGA level of DFT.

Unit cell a=9.4451 b=9.4451 c=12.5178 alpha=112.00 beta=112.00 gamma=61.25
Element x y z (fractional)
K 0.0826 0.2566 0.2412
K 0.2566 0.0826 0.7412
K 0.7434 0.9174 0.2588
K 0.9174 0.7434 0.7588
Tl 0.0250 0.8638 0.0961
Tl 0.1362 0.9750 0.4039
Tl 0.1853 0.3673 0.5754
Tl 0.2316 0.5662 0.2572
Tl 0.3159 0.4874 0.9604
Tl 0.3673 0.1853 0.0754
Tl 0.3705 0.6295 0.7500
Tl 0.4338 0.7684 0.2428
Tl 0.4874 0.3159 0.4604
Tl 0.5126 0.6841 0.5396
Tl 0.5662 0.2316 0.7572
Tl 0.6295 0.3705 0.2500
Tl 0.6327 0.8147 0.9246
Tl 0.6841 0.5126 0.0396
Tl 0.7684 0.4338 0.7428
Tl 0.8147 0.6327 0.4246
Tl 0.8638 0.0250 0.5961
Tl 0.9750 0.1362 0.9039
Cd 0.0000 0.5000 0.0000
Cd 0.1428 0.6916 0.5015
Cd 0.3084 0.8572 0.9985
Cd 0.5000 0.0000 0.5000
Cd 0.6916 0.1428 0.0015
Cd 0.8572 0.3084 0.4985

SG: C2/c
Magnetization, μB per cell: 0.00
Uncorrected energy, eV/atom: -1.912
Energy relative to the elements, eV/atom: -0.0383

---

Computed, not measured: a geometry-optimized K2TlCd structure at the PBE-GGA level of DFT.

Unit cell a=3.9304 b=3.9304 c=10.0847 alpha=90.00 beta=90.00 gamma=90.00
Element x y z (fractional)
K 0.0000 0.0000 0.2483
K 0.0000 0.0000 0.7517
Tl 0.5000 0.5000 0.5000
Cd 0.5000 0.5000 0.0000

SG: P4/mmm
Magnetization, μB per cell: 0.00
Uncorrected energy, eV/atom: -1.361
Energy relative to the elements, eV/atom: 0.0083

---

Computed, not measured: a geometry-optimized K12TlCd6 structure at the PBE-GGA level of DFT.

Unit cell a=10.5700 b=10.5700 c=10.5700 alpha=109.47 beta=109.47 gamma=109.47
Element x y z (fractional)
K 0.0987 0.8154 0.2833
K 0.1846 0.2833 0.4679
K 0.1846 0.7167 0.9013
K 0.2833 0.0987 0.8154
K 0.2833 0.4679 0.1846
K 0.4679 0.1846 0.2833
K 0.5321 0.8154 0.7167
K 0.7167 0.5321 0.8154
K 0.7167 0.9013 0.1846
K 0.8154 0.2833 0.0987
K 0.8154 0.7167 0.5321
K 0.9013 0.1846 0.7167
Tl 0.0000 0.0000 0.0000
Cd 0.1202 0.6202 0.5000
Cd 0.3798 0.5000 0.8798
Cd 0.5000 0.1202 0.6202
Cd 0.5000 0.8798 0.3798
Cd 0.6202 0.5000 0.1202
Cd 0.8798 0.3798 0.5000

SG: Im-3
Magnetization, μB per cell: 0.00
Uncorrected energy, eV/atom: -1.123
Energy relative to the elements, eV/atom: -0.0163

---

Computed, not measured: a geometry-optimized K2Tl5Cd structure at the PBE-GGA level of DFT.

Unit cell a=7.4212 b=7.4212 c=5.6866 alpha=90.00 beta=90.00 gamma=90.00
Element x y z (fractional)
K 0.0000 0.5000 0.0000
K 0.5000 0.0000 0.0000
Tl 0.0000 0.0000 0.0000
Tl 0.2894 0.2894 0.5000
Tl 0.2894 0.7106 0.5000
Tl 0.7106 0.2894 0.5000
Tl 0.7106 0.7106 0.5000
Cd 0.0000 0.0000 0.5000

SG: P4/mmm
Magnetization, μB per cell: 0.00
Uncorrected energy, eV/atom: -1.813
ΔE to the lowest computed polymorph, meV per atom: 122
Energy relative to the elements, eV/atom: 0.0550

---

Computed, not measured: a geometry-optimized K2TlCd structure at the PBE-GGA level of DFT.

Unit cell a=5.1871 b=7.1272 c=7.1272 alpha=40.12 beta=90.00 gamma=90.00
Element x y z (fractional)
K 0.0000 0.0000 0.0000
K 0.5000 0.3067 0.3067
Tl 0.5000 0.5959 0.5959
Cd 0.0000 0.7090 0.7090

SG: Amm2
Magnetization, μB per cell: 0.00
Uncorrected energy, eV/atom: -1.432
Energy relative to the elements, eV/atom: -0.0632

---

Computed, not measured: a geometry-optimized KTlCd structure at the PBE-GGA level of DFT.

Unit cell a=6.6775 b=6.6775 c=8.6793 alpha=129.26 beta=129.26 gamma=47.37
Element x y z (fractional)
K 0.0659 0.0659 0.3139
K 0.9341 0.9341 0.6861
Tl 0.3309 0.3309 0.9052
Tl 0.6691 0.6691 0.0948
Cd 0.3453 0.3453 0.2772
Cd 0.6547 0.6547 0.7228

SG: C2/m
Magnetization, μB per cell: 0.00
Uncorrected energy, eV/atom: -1.571
ΔE to the lowest computed polymorph, meV per atom: 0
Energy relative to the elements, eV/atom: -0.1109

---

Computed, not measured: a geometry-optimized KTl12Cd4 structure at the PBE-GGA level of DFT.

Unit cell a=9.0614 b=9.0614 c=9.0614 alpha=109.47 beta=109.47 gamma=109.47
Element x y z (fractional)
K 0.0000 0.0000 0.0000
Tl 0.1549 0.5067 0.3518
Tl 0.1549 0.8030 0.6482
Tl 0.1970 0.3518 0.8451
Tl 0.3518 0.1549 0.5067
Tl 0.3518 0.8451 0.1970
Tl 0.4933 0.6482 0.8451
Tl 0.5067 0.3518 0.1549
Tl 0.6482 0.1549 0.8030
Tl 0.6482 0.8451 0.4933
Tl 0.8030 0.6482 0.1549
Tl 0.8451 0.1970 0.3518
Tl 0.8451 0.4933 0.6482
Cd 0.0000 0.0000 0.5000
Cd 0.0000 0.5000 0.0000
Cd 0.5000 0.0000 0.0000
Cd 0.5000 0.5000 0.5000

SG: Im-3
Magnetization, μB per cell: 0.00
Uncorrected energy, eV/atom: -1.834
Energy relative to the elements, eV/atom: 0.1164

---

Computed, not measured: a geometry-optimized K2TlCd structure at the PBE-GGA level of DFT.

Unit cell a=6.1099 b=6.1099 c=6.1099 alpha=126.32 beta=126.32 gamma=79.36
Element x y z (fractional)
K 0.0000 0.0000 0.0000
K 0.7500 0.2500 0.5000
Tl 0.5000 0.5000 0.0000
Cd 0.2500 0.7500 0.5000

SG: I-4m2
Magnetization, μB per cell: 0.00
Uncorrected energy, eV/atom: -1.394
Energy relative to the elements, eV/atom: -0.0245

---

Computed, not measured: a geometry-optimized K2TlCd2 structure at the PBE-GGA level of DFT.

Unit cell a=10.2749 b=10.2749 c=3.5447 alpha=90.00 beta=90.00 gamma=90.00
Element x y z (fractional)
K 0.1878 0.3122 0.0000
K 0.3122 0.8122 0.0000
K 0.6878 0.1878 0.0000
K 0.8122 0.6878 0.0000
Tl 0.0000 0.0000 0.0000
Tl 0.5000 0.5000 0.0000
Cd 0.1049 0.6049 0.5000
Cd 0.3951 0.1049 0.5000
Cd 0.6049 0.8951 0.5000
Cd 0.8951 0.3951 0.5000

SG: P4/mbm
Magnetization, μB per cell: 0.00
Uncorrected energy, eV/atom: -1.205
ΔE to the lowest computed polymorph, meV per atom: 158
Energy relative to the elements, eV/atom: 0.0729

---

Computed, not measured: a geometry-optimized K17TlCd11 structure at the PBE-GGA level of DFT.

Unit cell a=11.5999 b=11.5999 c=11.5348 alpha=109.41 beta=109.41 gamma=109.53
Element x y z (fractional)
K 0.0000 0.0000 0.0000
K 0.9999 0.6727 0.0001
K 0.0009 0.0009 0.6691
K 0.0019 0.4186 0.6985
K 0.0021 0.6970 0.4194
K 0.2856 0.5861 0.5858
K 0.3022 0.7186 0.3016
K 0.3053 0.3053 0.7218
K 0.3293 0.3293 0.3299
K 0.4164 0.6996 0.0009
K 0.4186 0.0019 0.6985
K 0.5861 0.2856 0.5858
K 0.5857 0.5857 0.2832
K 0.6727 0.9999 0.0001
K 0.6970 0.0021 0.4194
K 0.6996 0.4164 0.0009
K 0.7186 0.3022 0.3016
Tl 0.6517 0.6517 0.8306
Cd 0.0012 0.1746 0.3434
Cd 0.0012 0.3411 0.1703
Cd 0.1723 0.8321 0.8312
Cd 0.1740 0.3426 0.0015
Cd 0.1746 0.0012 0.3434
Cd 0.3411 0.0012 0.1703
Cd 0.3426 0.1740 0.0015
Cd 0.6600 0.8324 0.6584
Cd 0.8321 0.1723 0.8312
Cd 0.8324 0.6600 0.6584
Cd 0.8347 0.8347 0.1766

SG: Cm
Magnetization, μB per cell: 0.00
Uncorrected energy, eV/atom: -1.084
Energy relative to the elements, eV/atom: -0.0117

---

Computed, not measured: a geometry-optimized KTl2Cd9 structure at the PBE-GGA level of DFT.

Unit cell a=10.4395 b=10.4395 c=10.4395 alpha=33.98 beta=33.98 gamma=33.98
Element x y z (fractional)
K 0.0000 0.0000 0.0000
Tl 0.1442 0.1442 0.1442
Tl 0.8558 0.8558 0.8558
Cd 0.0805 0.5875 0.5875
Cd 0.3336 0.3336 0.3336
Cd 0.4125 0.4125 0.9195
Cd 0.4125 0.9195 0.4125
Cd 0.5000 0.5000 0.5000
Cd 0.5875 0.0805 0.5875
Cd 0.5875 0.5875 0.0805
Cd 0.6664 0.6664 0.6664
Cd 0.9195 0.4125 0.4125

SG: R-3m
Magnetization, μB per cell: 0.00
Uncorrected energy, eV/atom: -1.205
Energy relative to the elements, eV/atom: -0.0333

---

Computed, not measured: a geometry-optimized KTlCd4 structure at the PBE-GGA level of DFT.

Unit cell a=6.1889 b=6.1889 c=6.1889 alpha=60.00 beta=60.00 gamma=60.00
Element x y z (fractional)
K 0.0000 0.0000 0.0000
Tl 0.7500 0.7500 0.7500
Cd 0.3754 0.3754 0.3754
Cd 0.3754 0.3754 0.8739
Cd 0.3754 0.8739 0.3754
Cd 0.8739 0.3754 0.3754

SG: F-43m
Magnetization, μB per cell: 0.00
Uncorrected energy, eV/atom: -1.239
Energy relative to the elements, eV/atom: -0.0518

---

Computed, not measured: a geometry-optimized K2TlCd structure at the PBE-GGA level of DFT.

Unit cell a=7.7242 b=7.7242 c=7.7242 alpha=101.22 beta=101.22 gamma=127.65
Element x y z (fractional)
K 0.1171 0.6250 0.9921
K 0.3750 0.3671 0.4921
K 0.6329 0.1250 0.0079
K 0.8750 0.8829 0.5079
Tl 0.2500 0.7500 0.5000
Tl 0.5000 0.5000 0.0000
Cd 0.0000 0.0000 0.0000
Cd 0.7500 0.2500 0.5000

SG: I-42d
Magnetization, μB per cell: 0.00
Uncorrected energy, eV/atom: -1.286
Energy relative to the elements, eV/atom: 0.0835

---

Computed, not measured: a geometry-optimized K2TlCd structure at the PBE-GGA level of DFT.

Unit cell a=6.6107 b=6.6107 c=6.6107 alpha=132.80 beta=132.62 gamma=69.11
Element x y z (fractional)
K 0.2494 0.2494 0.0000
K 0.7506 0.7506 0.0000
Tl 0.5000 0.0000 0.5000
Cd 0.0000 0.5000 0.5000

SG: Immm
Magnetization, μB per cell: 0.28
Uncorrected energy, eV/atom: -1.348
Energy relative to the elements, eV/atom: 0.0207